VASP calculation (meta-GGA SCAN) on Bi4PPd15 at its PBEsol-relaxed geometry.

V, Å³/atom: 16.38
E, eV per atom: -40.9916

Unit cell a=4.5286 b=4.5286 c=18.6313 alpha=83.02 beta=83.02 gamma=60.00
With the nearest neighbours (Å) after each atom.
Sites, in units of the cell vectors:
Pd  0.2989  0.2989  0.1033  8 Pd 2.61-2.88
Pd  0.1481  0.1481  0.5557  4 Bi 2.73-2.85, 4 Pd 2.81-2.86
P  0.0000  0.0000  0.0000  2 Pd 2.31
Pd  0.8519  0.8519  0.4443  4 Bi 2.73-2.85, 4 Pd 2.81-2.86
Bi  0.6019  0.6019  0.1944  14 Pd 2.82-3.15
Pd  0.2495  0.2495  0.2515  4 Pd 2.71-2.73, 4 Bi 2.76-2.82
Pd  0.7011  0.7011  0.8967  8 Pd 2.61-2.88
Pd  0.3461  0.3461  0.9617  4 Pd 2.61-2.88, 3 P 2.71, 1 Bi 2.88
Pd  0.9036  0.9036  0.2893  8 Pd 2.71-3.03
Pd  0.7505  0.7505  0.7485  4 Pd 2.71-2.73, 4 Bi 2.76-2.82
Pd  0.5000  0.5000  0.5000  8 Pd 2.81-2.82
Pd  0.4490  0.4490  0.6529  4 Bi 2.80-2.82, 4 Pd 2.82
Pd  0.9583  0.9583  0.1252  1 P 2.31
Pd  0.6539  0.6539  0.0383  4 Pd 2.61-2.88, 3 P 2.71, 1 Bi 2.88
Bi  0.1996  0.1996  0.4012  8 Pd 2.73-2.85
Pd  0.0964  0.0964  0.7107  8 Pd 2.71-3.03
Pd  0.5510  0.5510  0.3471  4 Bi 2.80-2.82, 4 Pd 2.82
Pd  0.0417  0.0417  0.8748  1 P 2.31
Bi  0.8004  0.8004  0.5988  8 Pd 2.73-2.85
Bi  0.3981  0.3981  0.8056  14 Pd 2.82-3.15



VASP calculation (meta-GGA SCAN) on Er2Fe3Cu at its PBEsol-relaxed geometry.

V, Å³/atom: 14.86
E, eV per atom: -28.4553

Unit cell a=4.9354 b=4.9354 c=5.0974 alpha=61.05 beta=61.05 gamma=60.00
With the nearest neighbours (Å) after each atom.
Sites, in units of the cell vectors:
Er  0.1226  0.1226  0.6321  3 Cu 2.90, 9 Fe 2.92-3.03, 4 Er 3.06-3.11
Fe  0.5000  0.0000  0.0000  4 Fe 2.47, 2 Cu 2.55
Cu  0.5000  0.5000  0.5000  6 Fe 2.55
Fe  0.0000  0.5000  0.0000  4 Fe 2.47, 2 Cu 2.55
Fe  0.5000  0.5000  0.0000  4 Fe 2.47, 2 Cu 2.55
Er  0.8774  0.8774  0.3679  3 Cu 2.90, 9 Fe 2.92-3.03, 4 Er 3.06-3.11



Number 1: energy of formation -0.175 eV/atom. Number 2: energy of formation -0.077 eV/atom.